(1)
5
Lattice="3.977 0.000 0.000 0.000 3.977 0.000 0.000 0.000 3.977" Properties=species:S:1:pos:R:3 comment="PBEsol BiH3Pt, relaxed" dft_energy_ry_per_atom=-0.231 pbc="T T T"
Pt 1.988 1.988 1.988
Bi 0.000 0.000 0.000
H 1.988 0.000 0.000
H 0.000 1.988 0.000
H 0.000 0.000 1.988

***

(2)
10
Lattice="-2.923 -1.279 -0.759 2.368 -6.359 1.596 -2.094 0.875 6.591" Properties=species:S:1:pos:R:3 comment="PBEsol BiH2Pt2, relaxed" dft_energy_ry_per_atom=-0.349 pbc="T T T"
Bi 0.137 -2.742 4.094
Bi 0.000 0.000 0.000
H -0.725 -3.093 0.920
H -0.168 -6.011 3.690
H -2.481 -0.753 3.738
H -1.924 -3.671 6.508
Pt -0.303 -3.290 6.710
Pt 0.577 -2.195 1.478
Pt 1.284 -5.176 3.778
Pt -1.010 -0.309 4.410

***

(3)
4
Lattice="-2.792 -0.219 -3.818 -0.192 -3.974 -2.568 -3.904 -2.680 0.072" Properties=species:S:1:pos:R:3 comment="PBEsol Bi2HPt, relaxed" dft_energy_ry_per_atom=-0.338 pbc="T T T"
Pt -3.443 -3.437 -3.157
Bi -1.722 -1.718 -1.579
Bi -5.165 -5.155 -4.736
H 0.000 0.000 0.000

***

Number 1: spin magnetization 0.0001 μB per atom, D(E_F) 2.810 states/eV per cell. Number 2: spin magnetization 0.0000 μB per atom, D(E_F) 3.273 states/eV per cell. Number 3: spin magnetization 0.0001 μB per atom, D(E_F) 1.649 states/eV per cell.